16
Lattice="8.368 0.000 0.000 0.000 8.368 0.000 -4.184 -4.184 7.296" Properties=species:S:1:pos:R:3 comment="PBE PrTh2Te5, relaxed" formation_energy_uncorrected_ev_per_atom=-1.235 magmom_total_mub_per_cell=1.67 dos_ef_per_ev_atom=0.18 final_energy_ev_per_atom=-5.651 pbc="T T T"
Th 7.132 5.420 0.000
Te 0.000 0.000 0.000
Te -1.325 -2.859 5.136
Te 2.859 1.325 2.160
Te 1.325 5.509 2.160
Te 4.184 4.184 0.000
Te 1.325 2.859 5.136
Th 1.236 2.948 0.000
Te -2.859 1.325 5.136
Te 5.509 7.043 2.160
Te 7.043 2.859 2.160
Th 5.420 1.236 0.000
Th 2.948 7.132 0.000
Pr 0.000 0.000 3.648
Te 2.859 -1.325 5.136
Pr 4.184 4.184 3.648